[1]
A relaxed Ac2NdHoP4 crystal, computed with GGA-PBE.

Cell: 4.2645 7.3971 7.3797 Å, 70.60 90.00 90.00°
Atoms (fractional coordinates):
Ac: 0.0000 0.0000 0.0000
Ac: 0.5000 0.0000 0.5000
Nd: 0.5000 0.5000 0.0000
Ho: 0.0000 0.5000 0.5000
P: 0.0000 0.7322 0.7510
P: 0.0000 0.2678 0.2490
P: 0.5000 0.7293 0.2615
P: 0.5000 0.2707 0.7385

Properties
* formation energy from the elements: -1480 meV per atom
* space-group type: P2/m
* magnetic moment: 0.00 μB/atom

[2]
A relaxed AcNdHoPb crystal, computed with GGA-PBE.

Cell: 5.6692 5.6692 5.6692 Å, 60.00 60.00 60.00°
Atoms (fractional coordinates):
Pb: 0.2500 0.2500 0.2500
Ac: 0.7500 0.7500 0.7500
Nd: 0.0000 0.0000 0.0000
Ho: 0.5000 0.5000 0.5000

Properties
* formation energy from the elements: -80 meV per atom
* space-group type: F-43m
* magnetic moment: 0.00 μB/atom

[3]
A relaxed AcPm2NdHo4 crystal, computed with GGA-PBE.

Cell: 9.6528 9.6581 11.9907 Å, 128.38 128.39 88.38°
Last column: magnetic moment on the atom in μB.
Atoms (fractional coordinates):
Ac: 0.0000 0.5000 0.0000  0.03
Ac: 0.0000 0.5000 0.5000  0.03
Pm: 0.5000 0.0000 0.0000  0.08
Pm: 0.5000 0.0000 0.5000  0.08
Pm: 0.0000 0.0000 0.5000  0.08
Pm: 0.5000 0.5000 0.0000  0.08
Nd: 0.5000 0.5000 0.5000  0.07
Nd: 0.0000 0.0000 0.0000  0.07
Ho: 0.2636 0.7618 0.0127  0.05
Ho: 0.7382 0.2364 0.4873  0.05
Ho: 0.2618 0.7636 0.5127  0.05
Ho: 0.7364 0.2382 0.9873  0.05
Ho: 0.7423 0.7582 0.0011  0.12
Ho: 0.7418 0.7577 0.4989  0.12
Ho: 0.2582 0.2423 0.5011  0.12
Ho: 0.2577 0.2418 0.9989  0.12

Properties
* formation energy from the elements: 425 meV per atom
* space-group type: Imma
* magnetic moment: 0.11 μB/atom